Material: ScNiSnAu
Method: DFT, PBE-GGA
State: relaxed

The structure in POSCAR format:
```
ScNiSnAu
1.0
0.0000 3.2908 3.2908
3.2908 0.0000 3.2908
3.2908 3.2908 0.0000
Sc Ni Sn Au
1 1 1 1
direct
0.0000 0.0000 0.0000
0.5000 0.5000 0.5000
0.2500 0.2500 0.2500
0.7500 0.7500 0.7500
```

Summary:
Final energy   -5.20 eV/atom